Li4Ti3Cr3Te2O16, relaxed, DFT PBEsol; space group = Cm, No. 8
1.0
-4.010 -4.185 -1.086
5.641 -1.409 0.609
-1.307 -1.305 9.854
O Li Cr Ti Te
16 4 3 3 2
direct
0.513 0.027 0.175
0.024 0.513 0.671
0.975 0.491 0.168
0.685 0.841 0.397
0.314 0.158 0.899
0.156 0.841 0.397
0.842 0.685 0.900
0.517 0.491 0.168
0.002 0.004 0.192
0.335 0.671 0.894
0.487 0.975 0.670
0.160 0.320 0.395
0.003 0.006 0.689
0.489 0.513 0.671
0.844 0.158 0.899
0.667 0.333 0.392
0.002 0.004 0.010
0.002 0.004 0.507
0.334 0.667 0.101
0.666 0.332 0.598
0.172 0.343 0.786
0.340 0.170 0.284
0.830 0.170 0.284
0.656 0.823 0.781
0.167 0.823 0.781
0.825 0.650 0.278
0.662 0.323 0.005
0.333 0.665 0.499

Li4VCrTe2O12, relaxed, DFT PBEsol; space group = P1, No. 1
1.0
-1.297 4.846 0.285
-4.515 -1.047 -2.523
-3.693 -1.346 6.138
O Li Cr V Te
12 4 1 1 2
direct
0.126 0.029 0.749
0.373 0.523 0.745
0.191 0.329 0.445
0.304 0.201 0.075
0.872 0.024 0.254
0.331 0.825 0.446
0.803 0.693 0.576
0.676 0.825 0.950
0.821 0.327 0.950
0.687 0.205 0.568
0.623 0.513 0.262
0.195 0.697 0.075
0.001 0.413 0.201
0.001 0.430 0.724
0.500 0.934 0.209
0.499 0.917 0.713
0.999 0.997 0.999
0.498 0.486 0.492
0.496 0.501 0.995
0.002 0.989 0.501

| no. | formation energy from raw total energies (eV/atom) | final energy (eV/atom) | mass density (g/cm³) |
| --- | --- | --- | --- |
| 1 | -2.12 | -7.64 | 4.7 |
| 2 | -1.72 | -6.61 | 5.0 |